# PBE with a Hubbard U Mn4CdO5, optimized geometry
data_Mn4CdO5
_chemical_formula_sum 'Mn8 Cd2 O10'
_symmetry_space_group_name_H-M 'I 4/m m m'
_symmetry_Int_Tables_number 139
_symmetry_space_group_name_Hall '-I 4 2'
_cell_length_a 3.2385
_cell_length_b 3.2385
_cell_length_c 22.8573
_cell_angle_alpha 90.00
_cell_angle_beta 90.00
_cell_angle_gamma 90.00
loop_
_atom_site_label
_atom_site_fract_x
_atom_site_fract_y
_atom_site_fract_z
Mn1 0.0000 0.0000 0.1028
Mn2 0.0000 0.0000 0.2986
Cd1 0.0000 0.0000 0.5000
O1 0.0000 0.0000 0.0000
O2 0.0000 0.0000 0.2010
O3 0.0000 0.0000 0.3950
# total magnetic moment	20.00	μB per formula unit
# final energy	-140.677	eV per cell
# V	239.73	Å³ per cell